# 1
! Mn3OF5 (PBE with a Hubbard U, relaxed); values from VASP
&SYSTEM
  ibrav = 0, nat = 18, ntyp = 3
/
ATOMIC_SPECIES
Mn 54.94 Mn.upf
F 19.00 F.upf
O 16.00 O.upf
CELL_PARAMETERS angstrom
4.8957 -0.0005 0.0000
-0.2102 4.8912 0.0000
0.0000 0.0000 9.7694
ATOMIC_POSITIONS angstrom
Mn 2.2529 2.3515 6.4744
Mn 0.0730 0.0762 4.8847
Mn 0.0607 0.0634 1.7302
Mn 2.2529 2.3515 3.2950
Mn 2.3942 2.4991 0.0000
Mn 0.0607 0.0634 8.0392
F 3.3116 1.4570 4.8847
F 3.7354 3.8990 6.3848
F 3.3415 1.4999 1.6574
F 3.3415 1.4999 8.1120
F 1.3554 3.4026 1.6574
F 1.3554 3.4026 8.1120
F 3.8473 4.0157 0.0000
F 3.7354 3.8990 3.3846
F 1.3138 3.3710 4.8847
F 0.9416 0.9828 0.0000
O 0.8842 0.9229 3.3697
O 0.8842 0.9229 6.3997
! **VASP energy**: -6.499 eV per atom
! **DOS(E_F)**: 4.03 states/eV/cell
! **Distance to the lowest polymorph of the same formula**: 23 meV/atom

# 2
! Mn2O3F (PBE with a Hubbard U, relaxed); values from VASP
&SYSTEM
  ibrav = 0, nat = 12, ntyp = 3
/
ATOMIC_SPECIES
F 19.00 F.upf
Mn 54.94 Mn.upf
O 16.00 O.upf
CELL_PARAMETERS angstrom
-1.9028 4.6630 2.1656
-1.1074 -3.9396 3.6479
5.3608 0.5239 -1.0205
ATOMIC_POSITIONS angstrom
F 2.5126 3.9096 1.0150
F -0.1620 -2.6623 3.7780
Mn -0.5537 -1.9698 1.8240
Mn 2.6804 0.2620 -0.5103
Mn 2.3154 -0.2487 2.9051
Mn 0.0352 1.4960 1.8879
O -0.2888 3.3254 1.3022
O 1.8379 1.6176 2.6159
O -0.8345 1.7050 3.5674
O 3.7468 1.8616 -0.1571
O 0.5127 -0.3702 2.1771
O 3.1851 -0.4577 1.2256
! **VASP energy**: -6.903 eV per atom
! **DOS(E_F)**: 3.05 states/eV/cell
! **Distance to the lowest polymorph of the same formula**: 0 meV/atom

# 3
! Mn6O7F5 (PBE with a Hubbard U, relaxed); values from VASP
&SYSTEM
  ibrav = 0, nat = 18, ntyp = 3
/
ATOMIC_SPECIES
O 16.00 O.upf
Mn 54.94 Mn.upf
F 19.00 F.upf
CELL_PARAMETERS angstrom
4.7287 0.0288 0.0195
0.1882 5.5798 0.0076
0.2269 0.5570 7.7203
ATOMIC_POSITIONS angstrom
O 3.5436 5.1515 3.3754
O 3.3290 1.1898 0.7340
O 1.7849 4.9291 6.9815
O 1.6375 2.7408 1.8654
O 4.0319 0.5908 5.9137
O 4.0586 2.4332 3.4917
O 1.0858 2.0421 6.8724
Mn 4.8969 3.9150 2.6300
Mn 4.9249 2.2274 5.1842
Mn 2.2589 2.7038 0.0654
Mn 2.6874 1.2123 2.5475
Mn 4.9124 0.5804 7.6026
Mn 2.7499 5.1074 5.2414
F 3.9783 4.0200 0.6770
F 1.0358 5.4907 1.7262
F 1.2440 3.9186 4.5244
F 1.6516 1.1617 4.2587
F 3.4824 3.3286 6.0600
! **VASP energy**: -6.771 eV per atom
! **DOS(E_F)**: 4.03 states/eV/cell
! **Distance to the lowest polymorph of the same formula**: 21 meV/atom

# 4
! Mn8O13F3 (PBE with a Hubbard U, relaxed); values from VASP
&SYSTEM
  ibrav = 0, nat = 24, ntyp = 3
/
ATOMIC_SPECIES
Mn 54.94 Mn.upf
O 16.00 O.upf
F 19.00 F.upf
CELL_PARAMETERS angstrom
-4.3745 0.0938 -1.0952
1.0937 -1.1643 -5.2869
-0.7593 -9.7547 1.9639
ATOMIC_POSITIONS angstrom
Mn -2.1058 -4.0500 -1.7082
Mn 0.0147 -1.4272 -0.6480
Mn 0.2459 -9.4737 -2.8194
Mn 0.5784 -4.5549 -3.8404
Mn -1.9242 -6.8255 -2.7607
Mn -2.5251 -8.9964 -0.7033
Mn -1.5612 -1.9663 -3.6678
Mn -4.6314 -6.1632 -0.6845
O -2.7776 -3.4476 -3.4653
O -1.2213 -10.0958 -1.6177
O -2.8147 -0.7834 -2.7918
O -0.8095 -5.1804 -2.6001
O -3.1372 -8.3589 -2.4659
O -3.4731 -2.8448 -0.8910
O -1.2563 -4.5696 0.0647
O -0.5102 -7.9124 -3.5222
O -3.7849 -7.7620 0.1584
O -0.9592 -2.5388 -1.9881
O -3.1248 -5.6661 -1.7505
O -1.6284 -9.4814 1.0473
O -0.2360 -3.0389 -4.5524
F -2.3957 -1.3048 -5.3924
F -2.7807 -6.0422 -4.4629
F -1.2894 -7.5121 -0.8603
! **VASP energy**: -6.923 eV per atom
! **DOS(E_F)**: 3.84 states/eV/cell
! **Distance to the lowest polymorph of the same formula**: 26 meV/atom

# 5
! Mn3O4F2 (PBE with a Hubbard U, relaxed); values from VASP
&SYSTEM
  ibrav = 0, nat = 18, ntyp = 3
/
ATOMIC_SPECIES
Mn 54.94 Mn.upf
O 16.00 O.upf
F 19.00 F.upf
CELL_PARAMETERS angstrom
-1.5400 -4.0126 3.4155
4.5662 -3.0868 0.6617
2.6018 1.7490 6.2735
ATOMIC_POSITIONS angstrom
Mn 3.0649 -5.5434 4.3997
Mn 1.5131 -3.5497 2.0386
Mn 4.4086 -4.7370 7.5173
Mn 1.2194 -0.6134 2.8333
Mn 2.8140 -2.6752 5.1753
Mn 2.5631 0.1930 5.9509
O 3.8507 -3.0377 6.7858
O 1.6449 -1.4708 6.1883
O 4.7430 -3.5195 9.0094
O 1.7343 0.5948 4.2452
O 0.8850 -1.8309 1.3412
O 3.8937 -5.9452 6.1055
O 3.9831 -3.8796 4.1623
O 1.7773 -2.3127 3.5648
F 3.4418 -3.0967 1.2710
F 2.1862 -2.2537 9.0796
F 4.0856 -0.9485 4.8635
F 1.5424 -4.4019 5.4871
! **VASP energy**: -6.844 eV per atom
! **DOS(E_F)**: 0.88 states/eV/cell
! **Distance to the lowest polymorph of the same formula**: 9 meV/atom

# 6
! Mn3OF5 (PBE with a Hubbard U, relaxed); values from VASP
&SYSTEM
  ibrav = 0, nat = 18, ntyp = 3
/
ATOMIC_SPECIES
O 16.00 O.upf
Mn 54.94 Mn.upf
F 19.00 F.upf
CELL_PARAMETERS angstrom
3.5148 4.7384 -0.0007
-3.5148 4.7384 -0.0007
0.0000 2.5047 6.9127
ATOMIC_POSITIONS angstrom
O 0.0000 9.4274 1.9732
O 0.0000 2.5542 4.9381
Mn 0.0000 8.3703 5.7611
Mn 0.0000 4.5802 4.4944
Mn 0.0000 7.4014 2.4169
Mn 0.0000 3.6113 1.1502
Mn 0.0000 1.2524 3.4564
Mn 0.0000 0.0000 0.0000
F 0.0000 4.5729 6.6561
F 0.0000 6.7709 4.4445
F 2.1670 7.2415 2.4171
F 2.1670 4.7402 4.4942
F -2.1670 4.7402 4.4942
F -2.1670 7.2415 2.4171
F -1.4199 4.7384 -0.0007
F 0.0000 7.4087 0.2552
F 0.0000 5.2107 2.4668
F 1.4199 4.7384 -0.0007
! **VASP energy**: -6.502 eV per atom
! **Distance to the lowest polymorph of the same formula**: 20 meV/atom

# 7
! Mn6O5F7 (PBE with a Hubbard U, relaxed); values from VASP
&SYSTEM
  ibrav = 0, nat = 36, ntyp = 3
/
ATOMIC_SPECIES
F 19.00 F.upf
Mn 54.94 Mn.upf
O 16.00 O.upf
CELL_PARAMETERS angstrom
-1.4567 5.4897 0.2918
-2.3585 -0.8397 4.0244
12.9416 2.9929 8.2989
ATOMIC_POSITIONS angstrom
F 5.6799 6.2207 9.0500
F 8.5642 5.3185 10.0987
F 4.8156 1.6753 7.6003
F 4.0217 4.3538 7.6242
F 2.4084 2.6351 5.8861
F -2.7156 4.1750 3.6632
F 0.3210 0.5337 4.6778
F 9.4383 4.3671 7.7266
F 7.5744 2.3774 6.2827
F 1.6765 5.3576 6.2323
F 2.6350 4.1239 3.6438
F -2.0802 1.4672 3.4008
F 9.2837 2.5714 10.1541
F -0.0062 5.0634 2.3555
Mn 0.6761 1.0696 0.8777
Mn -0.9977 3.3088 2.9902
Mn 10.5366 7.2143 8.0441
Mn 7.1898 2.2344 10.1752
Mn 5.8620 3.3394 7.0618
Mn 5.0054 2.1769 3.7064
Mn 6.1535 6.3100 5.2262
Mn 7.5996 5.4030 8.2805
Mn 3.3834 4.4891 5.6115
Mn -0.3088 4.6111 6.2316
Mn 10.3208 4.2269 9.6675
Mn 1.5643 2.2653 4.0438
O 11.1179 5.9395 9.5385
O 8.5434 7.0883 7.7182
O 6.8102 3.5985 8.7600
O 6.6810 5.0571 6.6464
O 4.9193 3.4171 5.3345
O 0.5523 2.2716 2.4284
O 4.2952 6.1275 5.1842
O 3.2028 1.3324 3.3423
O 11.9120 3.3053 9.1041
O -0.0012 3.3857 4.6788
! **VASP energy**: -6.647 eV per atom
! **DOS(E_F)**: 0.36 states/eV/cell
! **Distance to the lowest polymorph of the same formula**: 34 meV/atom

# 8
! Mn4O7F (PBE with a Hubbard U, relaxed); values from VASP
&SYSTEM
  ibrav = 0, nat = 24, ntyp = 3
/
ATOMIC_SPECIES
O 16.00 O.upf
Mn 54.94 Mn.upf
F 19.00 F.upf
CELL_PARAMETERS angstrom
4.9657 0.0000 0.0000
0.0000 7.0005 -0.0097
0.0000 1.4301 6.9800
ATOMIC_POSITIONS angstrom
O 0.9418 3.0995 3.9559
O 4.0714 1.6410 5.7930
O 1.5576 2.5183 6.5619
O 0.8080 5.1197 5.7536
O 4.1638 6.5887 3.9172
O 0.8942 0.9260 2.3030
O 3.4080 1.8033 3.0718
O 0.8019 5.8737 0.4272
O 1.6599 7.5209 4.6857
O 4.0239 2.3844 0.4658
O 3.2406 6.0546 6.5579
O 1.7251 5.3396 3.0679
O 4.1577 4.4046 2.2636
O 3.3058 6.8059 1.1957
Mn 0.1415 4.8673 3.9177
Mn 4.9210 0.6065 0.5242
Mn 2.4486 7.8220 6.4677
Mn 0.0447 1.3215 4.0142
Mn 2.5170 7.1070 2.9777
Mn 4.8241 4.1522 0.4277
Mn 2.4161 4.2483 6.4244
Mn 2.5495 3.5332 2.9344
F 1.4391 3.3567 1.2225
F 3.5266 4.0717 4.7125
! **VASP energy**: -6.974 eV per atom
! **DOS(E_F)**: 5.21 states/eV/cell
! **Distance to the lowest polymorph of the same formula**: 8 meV/atom

# 9
! MnOsOF2 (PBE with a Hubbard U, relaxed); values from VASP
&SYSTEM
  ibrav = 0, nat = 5, ntyp = 4
/
ATOMIC_SPECIES
O 16.00 O.upf
Mn 54.94 Mn.upf
F 19.00 F.upf
Os 190.23 Os.upf
CELL_PARAMETERS angstrom
-0.5082 -2.8634 3.1995
0.8762 -3.2232 -2.7454
3.4042 0.2637 0.7768
ATOMIC_POSITIONS angstrom
O 1.7021 0.1319 0.3884
Mn 0.0000 0.0000 0.0000
F -0.2541 -1.4317 1.5997
F 0.4381 -1.6116 -1.3727
Os 1.8861 -2.9114 0.6154
! **VASP energy**: -5.169 eV per atom
! **DOS(E_F)**: 5.12 states/eV/cell
! **Distance to the lowest polymorph of the same formula**: 935 meV/atom

# 10
! MnOsOF2 (PBE with a Hubbard U, relaxed); values from VASP
&SYSTEM
  ibrav = 0, nat = 5, ntyp = 4
/
ATOMIC_SPECIES
O 16.00 O.upf
F 19.00 F.upf
Os 190.23 Os.upf
Mn 54.94 Mn.upf
CELL_PARAMETERS angstrom
-0.0850 4.3101 1.3872
0.3279 -1.3779 4.3014
3.6855 0.1478 -0.2336
ATOMIC_POSITIONS angstrom
O 1.8427 0.0739 -0.1168
F -0.0425 2.1550 0.6936
F 0.1640 -0.6890 2.1507
Os 0.0000 0.0000 0.0000
Mn 1.9642 1.5400 2.7275
! **VASP energy**: -6.104 eV per atom
! **DOS(E_F)**: 2.98 states/eV/cell
! **Distance to the lowest polymorph of the same formula**: 0 meV/atom

# 11
! MnP2OF (PBE with a Hubbard U, relaxed); values from VASP
&SYSTEM
  ibrav = 0, nat = 5, ntyp = 4
/
ATOMIC_SPECIES
P 30.97 P.upf
O 16.00 O.upf
Mn 54.94 Mn.upf
F 19.00 F.upf
CELL_PARAMETERS angstrom
4.4942 0.0000 0.0000
0.0000 4.4942 0.0000
0.0000 0.0000 3.4300
ATOMIC_POSITIONS angstrom
P 2.2471 0.0000 0.0000
P 0.0000 2.2471 0.0000
O 0.0000 0.0000 1.7150
Mn 0.0000 0.0000 0.0000
F 2.2471 2.2471 1.7150
! **VASP energy**: -4.651 eV per atom
! **DOS(E_F)**: 3.96 states/eV/cell
! **Distance to the lowest polymorph of the same formula**: 0 meV/atom

# 12
! MnP2OF (PBE with a Hubbard U, relaxed); values from VASP
&SYSTEM
  ibrav = 0, nat = 5, ntyp = 4
/
ATOMIC_SPECIES
F 19.00 F.upf
O 16.00 O.upf
Mn 54.94 Mn.upf
P 30.97 P.upf
CELL_PARAMETERS angstrom
3.9808 0.0000 0.0000
0.0000 3.9808 0.0000
0.0000 0.0000 4.6952
ATOMIC_POSITIONS angstrom
F 0.0000 0.0000 0.0000
O 0.0000 0.0000 2.3476
Mn 1.9904 1.9904 2.3476
P 1.9904 0.0000 0.0000
P 0.0000 1.9904 0.0000
! **VASP energy**: -4.545 eV per atom
! **DOS(E_F)**: 2.09 states/eV/cell
! **Distance to the lowest polymorph of the same formula**: 106 meV/atom

# 13
! MnPbOF2 (PBE with a Hubbard U, relaxed); values from VASP
&SYSTEM
  ibrav = 0, nat = 5, ntyp = 4
/
ATOMIC_SPECIES
O 16.00 O.upf
Mn 54.94 Mn.upf
Pb 207.20 Pb.upf
F 19.00 F.upf
CELL_PARAMETERS angstrom
-2.5532 -0.4818 3.7637
-2.6007 -3.0811 -2.1587
2.6415 -3.1983 1.3825
ATOMIC_POSITIONS angstrom
O 1.3207 -1.5991 0.6912
Mn -1.2562 -3.3806 1.4937
Pb 0.0000 0.0000 0.0000
F -1.3003 -1.5405 -1.0794
F -1.2766 -0.2409 1.8818
! **VASP energy**: -5.089 eV per atom
! **DOS(E_F)**: 1.18 states/eV/cell

# 14
! MnPbO2F (PBE with a Hubbard U, relaxed); values from VASP
&SYSTEM
  ibrav = 0, nat = 5, ntyp = 4
/
ATOMIC_SPECIES
Pb 207.20 Pb.upf
F 19.00 F.upf
O 16.00 O.upf
Mn 54.94 Mn.upf
CELL_PARAMETERS angstrom
3.9838 0.0000 0.0000
0.0000 3.9838 0.0000
0.0000 0.0000 4.1980
ATOMIC_POSITIONS angstrom
Pb 1.9919 1.9919 2.0990
F 0.0000 0.0000 2.0990
O 0.0000 1.9919 0.0000
O 1.9919 0.0000 0.0000
Mn 0.0000 0.0000 0.0000
! **VASP energy**: -6.190 eV per atom
! **DOS(E_F)**: 0.56 states/eV/cell

# 15
! MnPbO2F (PBE with a Hubbard U, relaxed); values from VASP
&SYSTEM
  ibrav = 0, nat = 5, ntyp = 4
/
ATOMIC_SPECIES
Pb 207.20 Pb.upf
O 16.00 O.upf
Mn 54.94 Mn.upf
F 19.00 F.upf
CELL_PARAMETERS angstrom
4.3271 0.0000 0.0000
0.0000 4.3271 0.0000
0.0000 0.0000 4.4200
ATOMIC_POSITIONS angstrom
Pb 0.0000 0.0000 0.0000
O 2.1635 0.0000 0.0000
O 0.0000 2.1635 0.0000
Mn 2.1635 2.1635 2.2100
F 0.0000 0.0000 2.2100
! **VASP energy**: -5.387 eV per atom
! **DOS(E_F)**: 1.06 states/eV/cell

# 16
! MnPdOF2 (PBE with a Hubbard U, relaxed); values from VASP
&SYSTEM
  ibrav = 0, nat = 5, ntyp = 4
/
ATOMIC_SPECIES
F 19.00 F.upf
Mn 54.94 Mn.upf
O 16.00 O.upf
Pd 106.42 Pd.upf
CELL_PARAMETERS angstrom
-1.1672 2.7936 2.6984
0.0994 -2.7952 2.9368
3.7216 0.8735 0.7055
ATOMIC_POSITIONS angstrom
F -0.5836 1.3968 1.3492
F 0.0497 -1.3976 1.4684
Mn 0.0000 0.0000 0.0000
O 1.8608 0.4368 0.3527
Pd 1.3269 0.4360 3.1703
! **VASP energy**: -5.441 eV per atom
! **DOS(E_F)**: 3.88 states/eV/cell
! **Distance to the lowest polymorph of the same formula**: 0 meV/atom

# 17
! MnPdO2F (PBE with a Hubbard U, relaxed); values from VASP
&SYSTEM
  ibrav = 0, nat = 5, ntyp = 4
/
ATOMIC_SPECIES
O 16.00 O.upf
F 19.00 F.upf
Pd 106.42 Pd.upf
Mn 54.94 Mn.upf
CELL_PARAMETERS angstrom
4.0331 0.0000 0.0000
0.0000 4.0331 0.0000
0.0000 0.0000 4.0237
ATOMIC_POSITIONS angstrom
O 2.0165 0.0000 0.0000
O 0.0000 2.0165 0.0000
F 0.0000 0.0000 2.0118
Pd 0.0000 0.0000 0.0000
Mn 2.0165 2.0165 2.0118
! **VASP energy**: -5.479 eV per atom
! **DOS(E_F)**: 3.47 states/eV/cell

# 18
! MnPdOF2 (PBE with a Hubbard U, relaxed); values from VASP
&SYSTEM
  ibrav = 0, nat = 5, ntyp = 4
/
ATOMIC_SPECIES
Mn 54.94 Mn.upf
F 19.00 F.upf
Pd 106.42 Pd.upf
O 16.00 O.upf
CELL_PARAMETERS angstrom
4.1805 0.0000 0.0000
0.0000 4.1805 0.0000
0.0000 0.0000 4.0996
ATOMIC_POSITIONS angstrom
Mn 2.0903 2.0903 2.0498
F 2.0903 0.0000 0.0000
F 0.0000 2.0903 0.0000
Pd 0.0000 0.0000 0.0000
O 0.0000 0.0000 2.0498
! **VASP energy**: -5.093 eV per atom
! **DOS(E_F)**: 1.33 states/eV/cell
! **Distance to the lowest polymorph of the same formula**: 348 meV/atom

# 19
! MnPdO2F (PBE with a Hubbard U, relaxed); values from VASP
&SYSTEM
  ibrav = 0, nat = 5, ntyp = 4
/
ATOMIC_SPECIES
O 16.00 O.upf
Pd 106.42 Pd.upf
Mn 54.94 Mn.upf
F 19.00 F.upf
CELL_PARAMETERS angstrom
3.8882 0.0000 0.0000
0.0000 3.8882 0.0000
0.0000 0.0000 3.8841
ATOMIC_POSITIONS angstrom
O 1.9441 0.0000 0.0000
O 0.0000 1.9441 0.0000
Pd 1.9441 1.9441 1.9421
Mn 0.0000 0.0000 0.0000
F 0.0000 0.0000 1.9421
! **VASP energy**: -5.664 eV per atom
! **DOS(E_F)**: 3.72 states/eV/cell

# 20
! RbMnO2F (PBE with a Hubbard U, relaxed); values from VASP
&SYSTEM
  ibrav = 0, nat = 5, ntyp = 4
/
ATOMIC_SPECIES
O 16.00 O.upf
Rb 85.47 Rb.upf
Mn 54.94 Mn.upf
F 19.00 F.upf
CELL_PARAMETERS angstrom
3.8714 0.0000 0.0000
0.0000 3.8714 0.0000
0.0000 0.0000 4.7174
ATOMIC_POSITIONS angstrom
O 1.9357 0.0000 0.0000
O 0.0000 1.9357 0.0000
Rb 1.9357 1.9357 2.3587
Mn 0.0000 0.0000 0.0000
F 0.0000 0.0000 2.3587
! **VASP energy**: -5.659 eV per atom
! **DOS(E_F)**: 3.26 states/eV/cell